Entry 1:
The following is a PBE calculation of an optimized crystal structure of SeS2ClF, from Alexandria via LeMat-Bulk.

Cell lengths 4.866, 4.866, 4.894 Å; angles 90.00, 90.00, 90.00 degrees
Site moments in Bohr magnetons follow the coordinates.
Positions (direct):
1 S 0.000 0.500 0.000  0.50
2 S 0.500 0.000 0.000  0.50
3 F 0.500 0.500 0.500  0.44
4 Se 0.000 0.000 0.000  -0.07
5 Cl 0.000 0.000 0.500  0.09

Computed properties:
The formation energy from raw total energies is 0.569 eV/atom. Its space-group type is No. 123. The calculation puts the total magnetic moment at 2.07 μB/f.u. The calculated total energy is -12.615 eV per cell.

***

Entry 2:
The following is a PBE calculation of an optimized crystal structure of PrSmTl2, from Alexandria via LeMat-Bulk.

Cell lengths 3.891, 3.891, 10.031 Å; angles 78.82, 78.82, 60.00 degrees
Positions (direct):
1 Pr 0.500 0.500 0.500
2 Tl 0.749 0.749 0.754
3 Tl 0.251 0.251 0.246
4 Sm 0.000 0.000 0.000

Computed properties:
The value obtained for the formation energy from the elements is -0.27 eV/atom. Its space-group type is No. 166. The calculation puts the total magnetic moment at 0.00 μB/f.u. The calculated total energy is -15.300 eV per cell.

***

Entry 3:
The following is a PBE calculation of an optimized crystal structure of Ho4Sb3S, from Alexandria via LeMat-Bulk.

Cell lengths 4.261, 7.379, 7.379 Å; angles 109.38, 90.00, 90.00 degrees
Positions (direct):
1 Sb 0.000 0.000 0.500
2 Sb 0.500 0.500 0.500
3 Sb 0.000 0.500 0.000
4 S 0.500 0.000 0.000
5 Ho 0.000 0.239 0.239
6 Ho 0.500 0.757 0.243
7 Ho 0.000 0.761 0.761
8 Ho 0.500 0.243 0.757

Computed properties:
The formation energy from raw total energies is -1.291 eV/atom. Its space-group type is No. 65. The calculation puts the total magnetic moment at 0.00 μB/f.u. The calculated total energy is -45.131 eV per cell.

***

Entry 4:
The following is a PBE calculation of an optimized crystal structure of Tm8Te4Au3S, from Alexandria via LeMat-Bulk.

Cell lengths 8.293, 8.579, 8.292 Å; angles 118.90, 120.00, 90.00 degrees
Positions (direct):
1 Tm 0.239 0.721 0.982
2 Tm 0.239 0.721 0.479
3 Tm 0.260 0.280 0.520
4 Tm 0.742 0.721 0.982
5 Tm 0.258 0.279 0.018
6 Tm 0.740 0.720 0.480
7 Tm 0.761 0.279 0.521
8 Tm 0.761 0.279 0.018
9 Te 0.500 0.000 0.000
10 Te 0.500 0.000 0.500
11 Te 0.000 0.000 0.000
12 Te 0.000 0.000 0.500
13 Au 0.500 0.500 0.000
14 Au 0.500 0.500 0.500
15 Au 0.000 0.500 0.500
16 S 0.000 0.500 0.000

Computed properties:
The formation energy from raw total energies is -1.140 eV/atom. Its space-group type is No. 166. The calculation puts the total magnetic moment at 0.00 μB/f.u. The calculated total energy is -80.534 eV per cell.

***

Entry 5:
The following is a PBE calculation of an optimized crystal structure of Sr2Cd2Hg, from Alexandria via LeMat-Bulk.

Cell lengths 4.166, 4.166, 10.103 Å; angles 78.10, 78.10, 90.00 degrees
Positions (direct):
1 Sr 0.401 0.401 0.198
2 Sr 0.599 0.599 0.802
3 Hg 0.000 0.000 0.000
4 Cd 0.750 0.250 0.500
5 Cd 0.250 0.750 0.500

Computed properties:
The value obtained for the formation energy from the elements is -0.27 eV/atom. Its space-group type is No. 139. The calculation puts the total magnetic moment at 0.00 μB/f.u. The calculated total energy is -6.833 eV per cell.

***

Entry 6:
The following is a PBE calculation of an optimized crystal structure of TiBNF2, from Alexandria via LeMat-Bulk.

Cell lengths 4.271, 4.271, 2.687 Å; angles 90.00, 90.00, 90.00 degrees
Positions (direct):
1 N 0.000 0.000 0.500
2 F 0.000 0.500 0.000
3 F 0.500 0.000 0.000
4 B 0.000 0.000 0.000
5 Ti 0.500 0.500 0.500

Computed properties:
The formation energy from raw total energies is -1.107 eV/atom. Its space-group type is No. 123. The calculation puts the total magnetic moment at 0.04 μB/f.u. The calculated total energy is -32.176 eV per cell.

***

Entry 7:
The following is a PBE calculation of an optimized crystal structure of Hf2BeRe, from Alexandria via LeMat-Bulk.

Cell lengths 3.282, 3.282, 6.239 Å; angles 90.00, 90.00, 90.00 degrees
Positions (direct):
1 Re 0.500 0.500 0.500
2 Hf 0.000 0.000 0.753
3 Hf 0.000 0.000 0.247
4 Be 0.500 0.500 0.000

Computed properties:
The value obtained for the formation energy from the elements is -0.25 eV/atom. Its space-group type is No. 123. The calculation puts the total magnetic moment at 0.00 μB/f.u. The calculated total energy is -37.092 eV per cell.

***

Entry 8:
The following is a PBE calculation of an optimized crystal structure of Tb2PrSm3Se6, from Alexandria via LeMat-Bulk.

Cell lengths 7.217, 7.217, 7.212 Å; angles 99.56, 99.56, 120.23 degrees
Positions (direct):
1 Tb 0.334 0.666 0.000
2 Tb 0.666 0.334 0.000
3 Pr 0.000 0.000 0.000
4 Sm 0.160 0.840 0.500
5 Sm 0.840 0.160 0.500
6 Sm 0.500 0.500 0.500
7 Se 0.917 0.574 0.750
8 Se 0.738 0.738 0.244
9 Se 0.083 0.426 0.250
10 Se 0.574 0.917 0.750
11 Se 0.262 0.262 0.756
12 Se 0.426 0.083 0.250

Computed properties:
The formation energy from raw total energies is -1.808 eV/atom. Its space-group type is No. 12. The calculation puts the total magnetic moment at 0.00 μB/f.u. The calculated total energy is -70.802 eV per cell.

***

Entry 9:
The following is a PBE calculation of an optimized crystal structure of NbAuS3, from Alexandria via LeMat-Bulk.

Cell lengths 4.801, 4.801, 4.801 Å; angles 90.00, 90.00, 90.00 degrees
Positions (direct):
1 Nb 0.000 0.000 0.000
2 Au 0.500 0.500 0.500
3 S 0.000 0.500 0.000
4 S 0.000 0.000 0.500
5 S 0.500 0.000 0.000

Computed properties:
The formation energy from raw total energies is 0.059 eV/atom. Its space-group type is No. 221. The calculation puts the total magnetic moment at 0.00 μB/f.u. The calculated total energy is -25.432 eV per cell.

***

Entry 10:
The following is a PBE calculation of an optimized crystal structure of NaTl4Hg3, from Alexandria via LeMat-Bulk.

Cell lengths 6.815, 6.887, 9.606 Å; angles 90.00, 90.00, 90.00 degrees
Positions (direct):
1 Na 0.000 0.815 0.500
2 Na 0.500 0.315 0.500
3 Tl 0.000 0.315 0.002
4 Tl 0.000 0.315 0.497
5 Tl 0.251 0.063 0.249
6 Tl 0.249 0.563 0.751
7 Tl 0.500 0.815 0.503
8 Tl 0.500 0.815 0.998
9 Tl 0.751 0.563 0.751
10 Tl 0.749 0.063 0.249
11 Hg 0.000 0.814 0.000
12 Hg 0.248 0.065 0.741
13 Hg 0.252 0.565 0.259
14 Hg 0.500 0.314 0.000
15 Hg 0.748 0.565 0.259
16 Hg 0.752 0.065 0.741

Computed properties:
The value obtained for the formation energy from the elements is -0.06 eV/atom. Its space-group type is No. 31. The calculation puts the total magnetic moment at 0.00 μB/f.u. The calculated total energy is -24.355 eV per cell.

***

Entry 11:
The following is a PBE calculation of an optimized crystal structure of CaAu, from Alexandria via LeMat-Bulk.

Cell lengths 8.904, 8.904, 8.904 Å; angles 90.00, 90.00, 90.00 degrees
Positions (direct):
1 Ca 0.196 0.196 0.196
2 Ca 0.196 0.804 0.804
3 Ca 0.804 0.196 0.804
4 Ca 0.804 0.804 0.196
5 Ca 0.696 0.696 0.696
6 Ca 0.696 0.304 0.304
7 Ca 0.304 0.696 0.304
8 Ca 0.304 0.304 0.696
9 Au 0.381 0.381 0.381
10 Au 0.381 0.619 0.619
11 Au 0.619 0.381 0.619
12 Au 0.619 0.619 0.381
13 Au 0.881 0.881 0.881
14 Au 0.881 0.119 0.119
15 Au 0.119 0.881 0.119
16 Au 0.119 0.119 0.881

Computed properties:
The value obtained for the formation energy from the elements is -0.25 eV/atom. Its space-group type is No. 217. The calculation puts the total magnetic moment at 0.00 μB/f.u. The calculated total energy is -46.199 eV per cell.

***

Entry 12:
The following is a PBE calculation of an optimized crystal structure of TiCr3Pb, from Alexandria via LeMat-Bulk.

Cell lengths 4.598, 4.598, 4.598 Å; angles 90.00, 90.00, 90.00 degrees
Site moments in Bohr magnetons follow the coordinates.
Positions (direct):
1 Pb 0.500 0.500 0.500  0.11
2 Cr 0.000 0.500 0.000  -2.47
3 Cr 0.000 0.000 0.500  -2.42
4 Cr 0.500 0.000 0.000  -2.90
5 Ti 0.000 0.000 0.000  0.57

Computed properties:
The value obtained for the formation energy from the elements is 1.28 eV/atom. Its space-group type is No. 221. The calculation puts the total magnetic moment at 7.60 μB/f.u. The calculated total energy is -34.097 eV per cell.

***

- Which of these has the highest calculated total energy?
  Sr2Cd2Hg

***

- Number 9 is which compound?
  NbAuS3

***

- Which of these has the highest total magnetic moment?
  TiCr3Pb

***

- Number 6 is which compound?
  TiBNF2